Entry 1:
Crystalline Ta5Nb4Ir at its relaxed geometry, computed with PBE.

Computed properties:
- formation enthalpy at 0 K (eV per atom) = -0.148
- energy (eV per atom) = -10.989

```
data_Ta5Nb4Ir
_chemical_formula_sum 'Ta5 Nb4 Ir1'
_cell_length_a 3.2960
_cell_length_b 3.2960
_cell_length_c 16.3953
_cell_angle_alpha 90.00
_cell_angle_beta 90.00
_cell_angle_gamma 90.00
_space_group_name_H-M_alt 'P 4/m m m'
_space_group_IT_number 123
_space_group_name_Hall '-P 4 2'
loop_
_atom_site_label
_atom_site_type_symbol
_atom_site_fract_x
_atom_site_fract_y
_atom_site_fract_z
_atom_site_occupancy
Ta1 Ta 0.0000 0.0000 0.0000 1
Ta2 Ta 0.0000 0.0000 0.2052 1
Ta3 Ta 0.0000 0.0000 0.4050 1
Nb1 Nb 0.5000 0.5000 0.1014 1
Nb2 Nb 0.5000 0.5000 0.3044 1
Ir1 Ir 0.5000 0.5000 0.5000 1
```



Entry 2:
Crystalline Rb3Sn2Br2Cl5 at its relaxed geometry, computed with PBE.

Computed properties:
- energy (eV per atom) = -3.385

```
data_Rb3Sn2Br2Cl5
_chemical_formula_sum 'Rb6 Sn4 Br4 Cl10'
_cell_length_a 5.5942
_cell_length_b 5.5942
_cell_length_c 28.6063
_cell_angle_alpha 90.00
_cell_angle_beta 90.00
_cell_angle_gamma 90.00
_space_group_name_H-M_alt 'I 4/m m m'
_space_group_IT_number 139
_space_group_name_Hall '-I 4 2'
loop_
_atom_site_label
_atom_site_type_symbol
_atom_site_fract_x
_atom_site_fract_y
_atom_site_fract_z
_atom_site_occupancy
Rb1 Rb 0.0000 0.0000 0.0000 1
Rb2 Rb 0.0000 0.0000 0.1783 1
Sn1 Sn 0.0000 0.0000 0.4007 1
Br1 Br 0.0000 0.0000 0.2985 1
Cl1 Cl 0.0000 0.0000 0.5000 1
Cl2 Cl 0.0000 0.5000 0.0966 1
```



Entry 3:
Crystalline Cr2CuSb at its relaxed geometry, computed with PBE.

Computed properties:
- energy (eV per atom) = -6.536

```
data_Cr2CuSb
_chemical_formula_sum 'Cr4 Cu2 Sb2'
_cell_length_a 4.0894
_cell_length_b 4.0894
_cell_length_c 7.4120
_cell_angle_alpha 90.00
_cell_angle_beta 90.00
_cell_angle_gamma 90.00
_space_group_name_H-M_alt 'I 4/m m m'
_space_group_IT_number 139
_space_group_name_Hall '-I 4 2'
loop_
_atom_site_label
_atom_site_type_symbol
_atom_site_fract_x
_atom_site_fract_y
_atom_site_fract_z
_atom_site_occupancy
Cr1 Cr 0.0000 0.5000 0.2500 1
Cu1 Cu 0.0000 0.0000 0.0000 1
Sb1 Sb 0.0000 0.0000 0.5000 1
```



Entry 4:
Crystalline Hf2Ti3Pd2 at its relaxed geometry, computed with PBE.

Computed properties:
- formation enthalpy at 0 K (eV per atom) = -0.186
- energy (eV per atom) = -7.897

```
data_Hf2Ti3Pd2
_chemical_formula_sum 'Hf6 Ti9 Pd6'
_cell_length_a 4.6218
_cell_length_b 4.6218
_cell_length_c 20.1050
_cell_angle_alpha 90.00
_cell_angle_beta 90.00
_cell_angle_gamma 120.00
_space_group_name_H-M_alt 'R -3 m'
_space_group_IT_number 166
_space_group_name_Hall '-R 3 2"'
loop_
_atom_site_label
_atom_site_type_symbol
_atom_site_fract_x
_atom_site_fract_y
_atom_site_fract_z
_atom_site_occupancy
Hf1 Hf 0.0000 0.0000 0.2162 1
Ti1 Ti 0.0000 0.0000 0.3634 1
Ti2 Ti 0.0000 0.0000 0.5000 1
Pd1 Pd 0.0000 0.0000 0.0705 1
```



Entry 5:
Crystalline Ac8SiPb5 at its relaxed geometry, computed with PBE.

Computed properties:
- energy (eV per atom) = -4.600

```
data_Ac8SiPb5
_chemical_formula_sum 'Ac16 Si2 Pb10'
_cell_length_a 10.1986
_cell_length_b 10.1986
_cell_length_c 10.2405
_cell_angle_alpha 90.00
_cell_angle_beta 90.00
_cell_angle_gamma 90.00
_space_group_name_H-M_alt 'I -4'
_space_group_IT_number 82
_space_group_name_Hall 'I -4'
loop_
_atom_site_label
_atom_site_type_symbol
_atom_site_fract_x
_atom_site_fract_y
_atom_site_fract_z
_atom_site_occupancy
Ac1 Ac 0.0653 0.1945 0.3048 1
Ac2 Ac 0.0690 0.3208 0.9469 1
Si1 Si 0.0000 0.5000 0.2500 1
Pb1 Pb 0.0000 0.0000 0.0000 1
Pb2 Pb 0.1231 0.2501 0.6265 1
```



Entry 6:
Crystalline Ac3In2SiPd9 at its relaxed geometry, computed with PBE.

Computed properties:
- energy (eV per atom) = -5.189

```
data_Ac3In2SiPd9
_chemical_formula_sum 'Ac3 In2 Si1 Pd9'
_cell_length_a 6.9655
_cell_length_b 6.9655
_cell_length_c 8.5580
_cell_angle_alpha 90.00
_cell_angle_beta 90.00
_cell_angle_gamma 120.00
_space_group_name_H-M_alt 'P -3 m 1'
_space_group_IT_number 164
_space_group_name_Hall '-P 3 2"'
loop_
_atom_site_label
_atom_site_type_symbol
_atom_site_fract_x
_atom_site_fract_y
_atom_site_fract_z
_atom_site_occupancy
Ac1 Ac 0.0000 0.0000 0.0000 1
Ac2 Ac 0.3333 0.6667 0.6984 1
In1 In 0.3333 0.6667 0.2054 1
Si1 Si 0.0000 0.0000 0.5000 1
Pd1 Pd 0.0000 0.5000 0.0000 1
Pd2 Pd 0.1331 0.2662 0.3008 1
```



Entry 7:
Crystalline Li3NpS4 at its relaxed geometry, computed with PBE.

Computed properties:
- distance to the lowest polymorph of the same formula (meV/atom) = 216.4
- energy (eV per atom) = -5.442

```
data_Li3NpS4
_chemical_formula_sum 'Li6 Np2 S8'
_cell_length_a 6.4488
_cell_length_b 6.4488
_cell_length_c 7.1392
_cell_angle_alpha 90.00
_cell_angle_beta 90.00
_cell_angle_gamma 90.00
_space_group_name_H-M_alt 'I -4 2 m'
_space_group_IT_number 121
_space_group_name_Hall 'I -4 2'
loop_
_atom_site_label
_atom_site_type_symbol
_atom_site_fract_x
_atom_site_fract_y
_atom_site_fract_z
_atom_site_occupancy
Li1 Li 0.0000 0.0000 0.0000 1
Li2 Li 0.0000 0.5000 0.2500 1
Np1 Np 0.0000 0.0000 0.5000 1
S1 S 0.2402 0.2402 0.8554 1
```



Entry 8:
Crystalline KCu2Mo at its relaxed geometry, computed with PBE.

Computed properties:
- formation enthalpy at 0 K (eV per atom) = 0.780
- distance to the lowest polymorph of the same formula (meV/atom) = 207.4
- energy (eV per atom) = -4.250

```
data_KCu2Mo
_chemical_formula_sum 'K2 Cu4 Mo2'
_cell_length_a 8.6136
_cell_length_b 2.6451
_cell_length_c 7.1792
_cell_angle_alpha 90.00
_cell_angle_beta 93.70
_cell_angle_gamma 90.00
_space_group_name_H-M_alt 'C 1 m 1'
_space_group_IT_number 8
_space_group_name_Hall 'C -2y'
loop_
_atom_site_label
_atom_site_type_symbol
_atom_site_fract_x
_atom_site_fract_y
_atom_site_fract_z
_atom_site_occupancy
K1 K 0.0000 0.0000 0.0000 1
Cu1 Cu 0.0110 0.5000 0.5250 1
Cu2 Cu 0.2391 0.0000 0.6825 1
Mo1 Mo 0.2722 0.5000 0.3791 1
```



Among the records above, which one has the lowest energy? Ta5Nb4Ir



Which of these has the highest energy? Rb3Sn2Br2Cl5



Which value of energy does entry 2 give? -3.385 eV per atom



energy of number 7 (Li3NpS4)? -5.442 eV per atom